Density functional theory data (PBE) for an optimized crystal structure of Ce3PuAl.

abc: 6.064 8.190 10.019
angles: 90.00 90.00 90.00
Sites, in units of the cell vectors:
Al  0.148  0.090  0.250
Ce  0.360  0.057  0.750
Ce  0.090  0.803  0.044
Ce  0.410  0.303  0.044
Ce  0.910  0.197  0.544
Ce  0.590  0.697  0.544
Al  0.648  0.410  0.750
Al  0.852  0.910  0.750
Pu  0.000  0.500  0.500
Ce  0.090  0.803  0.456
Pu  0.000  0.500  0.000
Ce  0.640  0.943  0.250
Pu  0.500  0.000  0.000
Al  0.352  0.590  0.250
Pu  0.500  0.000  0.500
Ce  0.410  0.303  0.456
Ce  0.140  0.557  0.750
Ce  0.860  0.443  0.250
Ce  0.910  0.197  0.956
Ce  0.590  0.697  0.956

Computed properties:
* calculated total energy: -7.23 eV/atom
* formation enthalpy at 0 K: -0.057 eV per atom
* energy above the most stable polymorph in this dataset: 0.07 eV/f.u.
* symmetry: Pnma